# 1
Mg14AlIn, optimized geometry, DFT PBE; crystal system = tetragonal; total DFT energy (no corrections) = -1.807 eV per atom; formation enthalpy at 0 K = -0.1 eV per formula unit; SG = No. 123
1.0
6.349 0.000 0.000
0.000 6.349 0.000
0.000 0.000 8.952
Mg Al In
14 1 1
Cartesian
0.000 0.000 0.000
0.000 3.174 0.000
0.000 3.174 4.476
1.571 1.571 2.298
1.571 1.571 6.654
1.571 4.778 2.298
1.571 4.778 6.654
3.174 0.000 0.000
3.174 0.000 4.476
3.174 3.174 0.000
4.778 1.571 2.298
4.778 1.571 6.654
4.778 4.778 2.298
4.778 4.778 6.654
0.000 0.000 4.476
3.174 3.174 4.476



# 2
DyThAl2, optimized geometry, DFT PBE; crystal system = tetragonal; total DFT energy (no corrections) = -5.193 eV per atom; formation enthalpy at 0 K = -1.3 eV per formula unit; SG = No. 123
1.0
3.440 0.000 0.000
0.000 3.440 0.000
0.000 0.000 8.260
Dy Th Al
1 1 2
Cartesian
0.000 0.000 0.000
0.000 0.000 4.130
1.720 1.720 1.982
1.720 1.720 6.279



# 3
Lu2MgFe, optimized geometry, DFT PBE; crystal system = tetragonal; total DFT energy (no corrections) = -4.849 eV per atom; formation enthalpy at 0 K = -0.3 eV per formula unit; SG = No. 123
1.0
3.288 0.000 0.000
0.000 3.288 0.000
0.000 0.000 8.071
Lu Mg Fe
2 1 1
Cartesian
0.000 0.000 1.566
0.000 0.000 6.505
1.644 1.644 4.036
1.644 1.644 0.000



# 4
TiMn3S6, optimized geometry, DFT PBE; crystal system = trigonal; total DFT energy (no corrections) = -6.749 eV per atom; E_form (uncorrected) = -0.73 eV/atom; SG = No. 146
1.0
2.995 1.729 5.486
-2.995 1.729 5.486
0.000 -3.459 5.486
Ti Mn S
1 3 6
Cartesian
0.000 0.000 0.000
0.000 0.000 2.895
0.000 0.000 8.193
0.000 0.000 11.118
-2.038 0.035 6.935
-0.942 -1.653 9.649
0.989 -1.783 6.935
-0.960 1.642 9.649
1.050 1.748 6.935
1.902 0.011 9.649



# 5
CrReTc2, optimized geometry, DFT PBE; crystal system = monoclinic; total DFT energy (no corrections) = -10.566 eV per atom; formation enthalpy at 0 K = 0.5 eV per formula unit; SG = No. 6
1.0
2.712 0.000 0.000
0.000 4.181 0.000
-1.131 0.000 4.993
Cr Re Tc
1 1 2
Cartesian
0.000 0.000 0.000
2.222 2.091 1.267
-0.089 2.091 3.879
1.085 0.000 2.470



# 6
Ac2BeOsN4, optimized geometry, DFT PBE; crystal system = orthorhombic; total DFT energy (no corrections) = -7.483 eV per atom; E_form (uncorrected) = -0.42 eV/atom; SG = No. 70
1.0
0.000 5.670 9.222
2.314 0.000 9.222
2.314 5.670 0.000
Ac Be Os N
4 2 2 8
Cartesian
1.735 4.252 0.876
2.892 7.087 5.487
1.735 4.252 12.957
2.892 7.087 17.568
0.578 1.417 2.305
4.049 9.922 16.138
1.735 4.252 6.916
2.892 7.087 11.527
1.584 2.631 3.107
3.044 5.466 7.718
1.887 5.873 3.107
1.887 2.631 10.726
2.740 8.708 7.718
2.740 5.466 15.337
1.584 5.873 10.726
3.044 8.708 15.337



What is the formula in the second record? DyThAl2